Computed, not measured: an optimized crystal structure of CaNdSn2 at the GGA-PBE level of DFT.

Cell: 5.0360 5.0360 4.4871 Å, 90.00 90.00 90.00°
Space group P4/mmm (No. 123)
Asymmetric unit:
Ca (0.0000, 0.0000, 0.0000) (multiplicity 1)
Nd (0.5000, 0.5000, 0.0000) (multiplicity 1)
Sn (0.0000, 0.5000, 0.5000) (multiplicity 2)

Calculated values
The value obtained for the total moment is 0.00 μB per cell. Its formation energy from the elements is -0.638 eV per atom. The calculation puts the density of states at the Fermi level at 2.50 states/eV per cell.

***

Computed, not measured: an optimized crystal structure of CaNdSn4 at the GGA-PBE level of DFT.

Cell: 8.8426 8.8426 8.8426 Å, 90.00 90.00 90.00°
Space group F-43m (No. 216)
Asymmetric unit:
Ca (0.0000, 0.0000, 0.0000) (multiplicity 4)
Nd (0.2500, 0.2500, 0.2500) (multiplicity 4)
Sn (0.1250, 0.1250, 0.6250) (multiplicity 16)

Calculated values
The value obtained for the total moment is 0.01 μB per cell. The relative energy among the computed polymorphs is 134.1 meV per atom. Its formation energy from the elements is -0.362 eV per atom. The calculation puts the density of states at the Fermi level at 23.81 states/eV per cell.

***

Computed, not measured: an optimized crystal structure of CaNdSn2 at the GGA-PBE level of DFT.

Cell: 4.3375 6.2961 8.8421 Å, 90.00 90.00 90.00°
Space group Pmc2_1 (No. 26)
Asymmetric unit:
Ca (0.0000, 0.1254, 0.0000) (multiplicity 2)
Nd (0.5000, 0.3640, 0.6345) (multiplicity 2)
Sn (0.0000, 0.4096, 0.3590) (multiplicity 2)
Sn (0.5000, 0.1109, 0.2765) (multiplicity 2)

Calculated values
The value obtained for the total moment is 0.00 μB per cell. Its formation energy from the elements is -0.689 eV per atom. The calculation puts the density of states at the Fermi level at 5.00 states/eV per cell.

***

Computed, not measured: an optimized crystal structure of CaNd2Sn at the GGA-PBE level of DFT.

Cell: 4.2794 4.2794 6.9876 Å, 90.00 90.00 90.00°
Space group P4/mmm (No. 123)
Asymmetric unit:
Ca (0.0000, 0.0000, 0.0000) (multiplicity 1)
Nd (0.5000, 0.5000, 0.2787) (multiplicity 2)
Sn (0.0000, 0.0000, 0.5000) (multiplicity 1)

Calculated values
The value obtained for the total moment is 0.00 μB per cell. The relative energy among the computed polymorphs is 72.0 meV per atom. Its formation energy from the elements is -0.331 eV per atom. The calculation puts the density of states at the Fermi level at 5.12 states/eV per cell.

***

Computed, not measured: an optimized crystal structure of CaNd8Sn6 at the GGA-PBE level of DFT.

Cell: 9.4409 9.4409 19.6550 Å, 90.00 90.00 120.00°
Space group R-3 (No. 148, hexagonal axes)
Asymmetric unit:
Ca (0.0000, 0.0000, 0.0000) (multiplicity 3)
Nd (0.0000, 0.0000, 0.3335) (multiplicity 6)
Nd (0.0007, 0.3297, 0.1000) (multiplicity 18)
Sn (0.0007, 0.3361, 0.9300) (multiplicity 18)

Calculated values
The value obtained for the total moment is 0.00 μB per cell. Its formation energy from the elements is -0.584 eV per atom. The calculation puts the density of states at the Fermi level at 20.47 states/eV per cell.

***

Computed, not measured: an optimized crystal structure of Ca2NdSn at the GGA-PBE level of DFT.

Cell: 4.9182 4.9182 5.2029 Å, 90.00 90.00 90.00°
Space group P4/mmm (No. 123)
Asymmetric unit:
Ca (0.0000, 0.5000, 0.0000) (multiplicity 2)
Nd (0.0000, 0.0000, 0.5000) (multiplicity 1)
Sn (0.5000, 0.5000, 0.5000) (multiplicity 1)

Calculated values
The value obtained for the total moment is 0.00 μB per cell. The relative energy among the computed polymorphs is 0.0 meV per atom. Its formation energy from the elements is -0.400 eV per atom. The calculation puts the density of states at the Fermi level at 3.26 states/eV per cell.

***

Computed, not measured: an optimized crystal structure of CaNd3Sn2 at the GGA-PBE level of DFT.

Cell: 18.4440 4.7309 9.8504 Å, 90.00 114.99 90.00°
Space group C2/m (No. 12)
Asymmetric unit:
Ca (0.1118, 0.0000, 0.1220) (multiplicity 4)
Nd (0.0488, 0.0000, 0.6838) (multiplicity 4)
Nd (0.1498, 0.5000, 0.4808) (multiplicity 4)
Nd (0.1938, 0.5000, 0.8886) (multiplicity 4)
Sn (0.0058, 0.5000, 0.8520) (multiplicity 4)
Sn (0.2424, 0.0000, 0.7170) (multiplicity 4)

Calculated values
The value obtained for the total moment is 0.00 μB per cell. Its formation energy from the elements is -0.477 eV per atom. The calculation puts the density of states at the Fermi level at 25.35 states/eV per cell.

***

Computed, not measured: an optimized crystal structure of CaNdSn2 at the GGA-PBE level of DFT.

Cell: 3.7409 3.7409 30.0555 Å, 90.00 90.00 120.00°
Space group R-3m (No. 166, hexagonal axes)
Asymmetric unit:
Ca (0.0000, 0.0000, 0.0000) (multiplicity 3)
Nd (0.0000, 0.0000, 0.5000) (multiplicity 3)
Sn (0.0000, 0.0000, 0.2512) (multiplicity 6)

Calculated values
The value obtained for the total moment is 0.00 μB per cell. Its formation energy from the elements is -0.480 eV per atom. The calculation puts the density of states at the Fermi level at 9.50 states/eV per cell.

***

formation energy from the elements of number 7 (CaNd3Sn2)?
-0.477 eV per atom

***

What did the third record say?
Computed, not measured: an optimized crystal structure of CaNdSn2 at the GGA-PBE level of DFT.

Cell: 4.3375 6.2961 8.8421 Å, 90.00 90.00 90.00°
Space group Pmc2_1 (No. 26)
Asymmetric unit:
Ca (0.0000, 0.1254, 0.0000) (multiplicity 2)
Nd (0.5000, 0.3640, 0.6345) (multiplicity 2)
Sn (0.0000, 0.4096, 0.3590) (multiplicity 2)
Sn (0.5000, 0.1109, 0.2765) (multiplicity 2)

Calculated values
The value obtained for the total moment is 0.00 μB per cell. Its formation energy from the elements is -0.689 eV per atom. The calculation puts the density of states at the Fermi level at 5.00 states/eV per cell.